DFT (GGA-PBEsol) results for crystalline Be2AgPb at its relaxed geometry.

Values from the calculation:
* space-group type: C2/m (12)
* M_tot: 0.00 μB per formula unit
* VASP energy: -12.7 eV/f.u.
* energy of formation from the pure elements: 0.6635 eV/atom

Unit cell a=3.2877 b=4.8692 c=5.0925 alpha=116.05 beta=105.38 gamma=96.91
Last column: nearest neighbours and their distance in Å.
Fractional positions:
Pb 0.0000 0.0000 0.0000  4 Be 2.55, 2 Ag 2.77
Be 0.0000 0.0000 0.5000  2 Pb 2.55, 2 Ag 2.55, 2 Be 2.77
Be 0.5000 0.5000 0.5000  2 Ag 2.55, 2 Pb 2.55, 2 Be 2.77
Ag 0.5000 0.5000 0.0000  4 Be 2.55, 2 Pb 2.77

DFT (GGA-PBEsol) results for crystalline BeAgPb3 at its relaxed geometry.

Values from the calculation:
* space-group type: Pm-3m (221)
* M_tot: 0.00 μB per formula unit
* VASP energy: -14.7 eV/f.u.
* energy of formation from the pure elements: 0.9229 eV/atom

Unit cell a=5.3824 b=5.3824 c=5.3824 alpha=90.00 beta=90.00 gamma=90.00
Last column: nearest neighbours and their distance in Å.
Fractional positions:
Pb 0.0000 0.5000 0.0000  2 Ag 2.69
Pb 0.0000 0.0000 0.5000  2 Ag 2.69
Pb 0.5000 0.0000 0.0000  2 Ag 2.69
Be 0.5000 0.5000 0.5000  12 Pb 3.81
Ag 0.0000 0.0000 0.0000  6 Pb 2.69

DFT (GGA-PBEsol) results for crystalline BeAgPb2 at its relaxed geometry.

Values from the calculation:
* space-group type: Pm (6)
* M_tot: 0.00 μB per formula unit
* VASP energy: -14.2 eV/f.u.
* energy of formation from the pure elements: 0.2817 eV/atom

Unit cell a=4.0551 b=4.1222 c=5.5002 alpha=112.53 beta=90.00 gamma=90.00
Last column: nearest neighbours and their distance in Å.
Fractional positions:
Pb 0.0000 0.0195 0.9160  3 Ag 2.93-2.98, 4 Be 2.98-3.00
Pb 0.5000 0.7223 0.3179  3 Be 2.81-3.08, 4 Ag 3.03-3.05
Be 0.5000 0.4459 0.7638  2 Ag 2.42
Ag 0.0000 0.3122 0.5023  2 Be 2.42

DFT (GGA-PBEsol) results for crystalline Be2AgPd at its relaxed geometry.

Values from the calculation:
* space-group type: I-42d (122)
* M_tot: 0.00 μB per formula unit
* VASP energy: -16.8 eV/f.u.
* energy of formation from the pure elements: 0.1064 eV/atom

Unit cell a=5.1169 b=5.1169 c=5.1169 alpha=105.52 beta=105.52 gamma=117.69
Last column: nearest neighbours and their distance in Å.
Fractional positions:
Be 0.8620 0.8750 0.4870  2 Pd 2.23, 2 Ag 2.34
Be 0.3880 0.3750 0.5130  2 Pd 2.23, 2 Ag 2.34
Be 0.1250 0.6120 0.9870  2 Pd 2.23, 2 Ag 2.34
Be 0.6250 0.1380 0.0130  2 Pd 2.23, 2 Ag 2.34
Pd 0.5000 0.5000 0.0000  4 Be 2.23
Pd 0.7500 0.2500 0.5000  4 Be 2.23
Ag 0.0000 0.0000 0.0000  4 Be 2.34
Ag 0.2500 0.7500 0.5000  4 Be 2.34

DFT (GGA-PBEsol) results for crystalline BeAg3Pd at its relaxed geometry.

Values from the calculation:
* space-group type: Pm-3m (221)
* M_tot: 0.00 μB per formula unit
* VASP energy: -17.8 eV/f.u.
* energy of formation from the pure elements: 0.4156 eV/atom

Unit cell a=4.2827 b=4.2827 c=4.2827 alpha=90.00 beta=90.00 gamma=90.00
Last column: nearest neighbours and their distance in Å.
Fractional positions:
Be 0.0000 0.0000 0.0000  6 Ag 2.14
Pd 0.5000 0.5000 0.5000  12 Ag 3.03
Ag 0.0000 0.5000 0.0000  2 Be 2.14
Ag 0.0000 0.0000 0.5000  2 Be 2.14
Ag 0.5000 0.0000 0.0000  2 Be 2.14

DFT (GGA-PBEsol) results for crystalline Be2AgPt at its relaxed geometry.

Values from the calculation:
* space-group type: Imm2 (44)
* M_tot: 0.00 μB per formula unit
* E above lowest polymorph: 94 meV/atom
* VASP energy: -19.2 eV/f.u.
* energy of formation from the pure elements: -0.2349 eV/atom

Unit cell a=2.7962 b=3.9532 c=4.9737 alpha=113.42 beta=106.33 gamma=90.00
Last column: nearest neighbours and their distance in Å.
Fractional positions:
Be 0.0139 0.0139 0.0278  4 Pt 2.44, 2 Be 2.53, 2 Ag 2.66
Be 0.7559 0.2559 0.5118  2 Pt 2.37, 4 Ag 2.42, 2 Be 2.53
Ag 0.2538 0.7538 0.5075  6 Be 2.42-2.66
Pt 0.4765 0.4765 0.9529  6 Be 2.37-2.44

DFT (GGA-PBEsol) results for crystalline Be2AgPt at its relaxed geometry.

Values from the calculation:
* space-group type: I-4m2 (119)
* M_tot: 0.00 μB per formula unit
* E above lowest polymorph: 147 meV/atom
* VASP energy: -19.0 eV/f.u.
* energy of formation from the pure elements: -0.1815 eV/atom

Unit cell a=3.3973 b=3.3973 c=4.8358 alpha=110.56 beta=110.56 gamma=90.00
Last column: nearest neighbours and their distance in Å.
Fractional positions:
Be 0.0000 0.0000 0.0000  4 Pt 2.40
Be 0.7500 0.2500 0.5000  4 Ag 2.40
Ag 0.2500 0.7500 0.5000  4 Be 2.40
Pt 0.5000 0.5000 0.0000  4 Be 2.40

DFT (GGA-PBEsol) results for crystalline Be2AgPt at its relaxed geometry.

Values from the calculation:
* space-group type: Fm-3m (225)
* M_tot: 0.00 μB per formula unit
* E above lowest polymorph: 0 meV/atom
* VASP energy: -19.6 eV/f.u.
* energy of formation from the pure elements: -0.3288 eV/atom

Unit cell a=4.0522 b=4.0522 c=4.0522 alpha=60.00 beta=60.00 gamma=60.00
Last column: nearest neighbours and their distance in Å.
Fractional positions:
Be 0.2500 0.2500 0.2500  4 Pt 2.48, 4 Ag 2.48
Be 0.7500 0.7500 0.7500  4 Ag 2.48, 4 Pt 2.48
Ag 0.5000 0.5000 0.5000  8 Be 2.48
Pt 0.0000 0.0000 0.0000  8 Be 2.48

DFT (GGA-PBEsol) results for crystalline BeAgPt at its relaxed geometry.

Values from the calculation:
* space-group type: P3m1 (156)
* M_tot: 0.00 μB per formula unit
* VASP energy: -14.8 eV/f.u.
* energy of formation from the pure elements: -0.1605 eV/atom

Unit cell a=2.8807 b=4.0506 c=4.0506 alpha=120.00 beta=90.00 gamma=90.00
Last column: nearest neighbours and their distance in Å.
Fractional positions:
Be 0.5047 0.3333 0.6667  3 Pt 2.34
Ag 0.9981 0.0000 0.0000  6 Be 2.74-2.76, 6 Pt 2.75, 2 Ag 2.88
Pt 0.4972 0.6667 0.3333  3 Be 2.34

DFT (GGA-PBEsol) results for crystalline Be2ReAg at its relaxed geometry.

Values from the calculation:
* space-group type: I-4m2 (119)
* M_tot: 0.00 μB per formula unit
* VASP energy: -23.1 eV/f.u.
* energy of formation from the pure elements: 0.3948 eV/atom

Unit cell a=3.3277 b=3.3277 c=4.9114 alpha=109.80 beta=109.80 gamma=90.00
Last column: nearest neighbours and their distance in Å.
Fractional positions:
Re 0.5000 0.5000 0.0000  4 Be 2.35
Ag 0.2500 0.7500 0.5000  4 Be 2.35
Be 0.0000 0.0000 0.0000  4 Re 2.35
Be 0.7500 0.2500 0.5000  4 Ag 2.35

DFT (GGA-PBEsol) results for crystalline BeRe2Ag at its relaxed geometry.

Values from the calculation:
* space-group type: Pm (6)
* M_tot: 0.00 μB per formula unit
* VASP energy: -32.5 eV/f.u.
* energy of formation from the pure elements: 0.3578 eV/atom

Unit cell a=2.7394 b=3.9227 c=5.3828 alpha=90.00 beta=106.00 gamma=90.00
Last column: nearest neighbours and their distance in Å.
Fractional positions:
Re 0.9653 0.0000 0.9968  6 Re 2.55-2.77, 4 Be 2.67-2.70, 3 Ag 2.73-2.85
Re 0.5074 0.5000 0.2182  1 Be 2.38, 2 Re 2.55
Ag 0.1765 0.0000 0.5236  2 Be 2.32
Be 0.3508 0.5000 0.7615  2 Ag 2.32, 1 Re 2.38

DFT (GGA-PBEsol) results for crystalline BeRe2Ag at its relaxed geometry.

Values from the calculation:
* space-group type: P4/mmm (123)
* M_tot: 0.00 μB per formula unit
* VASP energy: -31.6 eV/f.u.
* energy of formation from the pure elements: 0.5820 eV/atom

Unit cell a=3.6189 b=3.6189 c=4.2553 alpha=90.00 beta=90.00 gamma=90.00
Last column: nearest neighbours and their distance in Å.
Fractional positions:
Re 0.0000 0.5000 0.0000  4 Re 2.56, 4 Ag 2.79, 4 Be 2.79
Re 0.5000 0.0000 0.0000  4 Re 2.56, 4 Ag 2.79, 4 Be 2.79
Ag 0.5000 0.5000 0.5000  4 Be 2.56, 8 Re 2.79
Be 0.0000 0.0000 0.5000  4 Ag 2.56, 8 Re 2.79